The following is a PBE calculation of an optimized crystal structure of TlNi2Ag, from the Alexandria database.

The calculation puts the total energy at -3.73 eV per atom. The calculation puts the density of states at the Fermi level at 11.78 states/eV per cell. For the energy relative to the lowest polymorph listed for this composition, the calculation gives 0.227 eV per atom.

It has space group R3m (No. 160, hexagonal axes), with a = 2.9878 Å, b = 2.9878 Å, c = 26.1337 Å, α = 90.00°, β = 90.00° and γ = 120.00°. Symmetry generates all atoms from Tl at (0.0000, 0.0000, 0.0000), Ni at (0.0000, 0.0000, 0.2491), Ni at (0.0000, 0.0000, 0.5174) and Ag at (0.0000, 0.0000, 0.7705).